Here is MnAlBr2 after structural relaxation from Alexandria. Energies are from PBE-GGA.

Cell: 9.4705 9.4705 9.4705 Å, 21.48 21.48 21.48°
Site moments in Bohr magnetons follow the coordinates.
Sites, in units of the cell vectors:
1 Mn 0.4932 0.4932 0.4932  3.84
2 Al 0.7597 0.7597 0.7597  -0.05
3 Br 0.2179 0.2179 0.2179  0.10
4 Br 0.0292 0.0292 0.0292  -0.02

- N(E_F): 2.02 states/eV per cell
- Energy above the lowest structure with this stoichiometry: 0 meV per atom
- Size of the total moment: 1.01 μB per atom
- Theoretical density: 4.023 g/cm³